Record 1
Here is crystalline CsNb2GePb at its relaxed geometry from the Alexandria database. Energies are from PBE-GGA.

Geometry as POSCAR:
```
CsNb2GePb
1.0
5.424 0.000 0.000
0.000 5.424 0.000
0.000 0.000 5.672
Cs Nb Ge Pb
1 2 1 1
Cartesian
0.000 0.000 0.000
0.000 2.712 2.836
2.712 0.000 2.836
2.712 2.712 0.000
2.712 2.712 2.836
```

Summary:
As for the total energy: -21.13 eV for the cell shown. The total magnetization is 1.1427 μB per atom. The value obtained for the formation energy is 1.638 eV/atom.

=====

Record 2
Here is crystalline CsNbGePd2 at its relaxed geometry from the Alexandria database. Energies are from PBE-GGA.

Geometry as POSCAR:
```
CsNbGePd2
1.0
4.792 0.000 0.000
0.000 4.792 0.000
0.000 0.000 5.903
Cs Nb Ge Pd
1 1 1 2
Cartesian
0.000 0.000 0.000
2.396 2.396 0.000
0.000 0.000 2.952
0.000 2.396 2.952
2.396 0.000 2.952
```

Summary:
As for the total energy: -20.27 eV for the cell shown. The total magnetization is 0.8015 μB per atom. The value obtained for the formation energy is 1.132 eV/atom.

=====

Record 3
Here is crystalline CsNdGe2O6 at its relaxed geometry from the Alexandria database. Energies are from PBE-GGA.

Geometry as POSCAR:
```
CsNdGe2O6
1.0
5.517 -5.266 0.000
5.517 5.266 0.000
-1.184 0.000 5.773
Cs Nd Ge O
2 2 4 12
Cartesian
4.629 3.363 4.330
5.221 -3.363 1.443
5.221 1.235 1.443
4.629 -1.235 4.330
1.510 0.861 4.671
2.102 -0.861 1.785
7.748 0.861 3.988
8.340 -0.861 1.102
3.546 2.848 1.388
1.764 0.080 0.254
1.173 -0.080 3.140
3.225 0.641 5.045
6.896 2.848 1.498
3.817 -0.641 2.159
6.033 0.641 3.614
2.954 -2.848 4.275
6.625 -0.641 0.728
8.678 0.080 2.633
8.086 -0.080 5.519
6.304 -2.848 4.385
```

Summary:
The value obtained for the uncorrected formation energy is -2148 meV/atom. As for the total energy: -132.17 eV for the cell shown. The total magnetization is 0.0000 μB per atom.

=====

Record 4
Here is crystalline Cs4Nd3GeO8 at its relaxed geometry from the Alexandria database. Energies are from PBE-GGA.

Geometry as POSCAR:
```
Cs4Nd3GeO8
1.0
3.633 2.098 6.920
-3.633 2.098 6.920
0.000 -4.195 6.920
Cs Nd Ge O
4 3 1 8
Cartesian
0.000 0.000 0.000
-1.817 -1.049 6.920
-1.817 1.049 13.839
0.000 2.098 6.920
-3.633 0.000 10.380
-1.817 1.049 3.460
1.817 1.049 3.460
0.000 0.000 10.380
0.000 0.000 4.639
-1.730 -0.999 11.534
0.000 -1.997 9.225
-1.730 0.999 9.225
1.730 -0.999 11.534
0.000 1.997 11.534
1.730 0.999 9.225
0.000 0.000 16.120
```

Summary:
The value obtained for the uncorrected formation energy is -2086 meV/atom. As for the total energy: -95.38 eV for the cell shown. The total magnetization is 0.0000 μB per atom.